Entry 1:
An optimized crystal structure of Hf2UIr, computed with PBE.

Cell: 4.7735 4.7735 4.7735 Å, 60.00 60.00 60.00°
Closest atoms and distances in Å follow each position.
Atoms (fractional coordinates):
Hf 0.2500 0.2500 0.2500  4 Ir 2.92, 4 U 2.92
Ir 0.5000 0.5000 0.5000  8 Hf 2.92
Hf 0.7500 0.7500 0.7500  4 U 2.92, 4 Ir 2.92
U 0.0000 0.0000 0.0000  8 Hf 2.92

Computed properties:
- Total magnetization: 1.8 μB per cell
- Symmetry: Fm-3m, No. 225
- DOS(E_F): 6.0 states/eV per cell
- Formation energy from the elements: -0.188 eV/f.u.
- Distance to the lowest polymorph of the same formula: 0.263 eV/atom



Entry 2:
An optimized crystal structure of HfU2Ir9, computed with PBE.

Cell: 4.0218 4.0218 12.0532 Å, 90.00 90.00 90.00°
Closest atoms and distances in Å follow each position.
Atoms (fractional coordinates):
Ir 0.5000 0.0000 0.8351  2 Hf 2.83, 8 Ir 2.83-2.84, 2 U 2.83
U 0.0000 0.0000 0.6694  12 Ir 2.83-2.87
Ir 0.0000 0.5000 0.8351  2 Hf 2.83, 8 Ir 2.83-2.84, 2 U 2.83
Ir 0.0000 0.5000 0.1649  2 Hf 2.83, 8 Ir 2.83-2.84, 2 U 2.83
Ir 0.5000 0.5000 0.3315  8 Ir 2.84-2.86, 4 U 2.84
Ir 0.0000 0.5000 0.5000  8 Ir 2.84-2.86, 4 U 2.87
Ir 0.5000 0.0000 0.1649  2 Hf 2.83, 8 Ir 2.83-2.84, 2 U 2.83
Ir 0.5000 0.5000 0.0000  8 Ir 2.83, 4 Hf 2.84
U 0.0000 0.0000 0.3306  12 Ir 2.83-2.87
Ir 0.5000 0.5000 0.6685  8 Ir 2.84-2.86, 4 U 2.84
Ir 0.5000 0.0000 0.5000  8 Ir 2.84-2.86, 4 U 2.87
Hf 0.0000 0.0000 0.0000  12 Ir 2.83-2.84

Computed properties:
- Total magnetization: 0.0 μB per cell
- Symmetry: P4/mmm, No. 123
- DOS(E_F): 6.7 states/eV per cell
- Formation energy from the elements: -8.500 eV/f.u.



Entry 3:
An optimized crystal structure of HfZrUIr, computed with PBE.

Cell: 4.7901 4.7901 4.7901 Å, 60.00 60.00 60.00°
Closest atoms and distances in Å follow each position.
Atoms (fractional coordinates):
Hf 0.7500 0.7500 0.7500  4 U 2.93, 4 Ir 2.93
Zr 0.2500 0.2500 0.2500  4 Ir 2.93, 4 U 2.93
U 0.5000 0.5000 0.5000  4 Zr 2.93, 4 Hf 2.93
Ir 0.0000 0.0000 0.0000  4 Hf 2.93, 4 Zr 2.93

Computed properties:
- Total magnetization: 1.8 μB per cell
- Symmetry: F-43m, No. 216
- DOS(E_F): 6.2 states/eV per cell
- Formation energy from the elements: -0.228 eV/f.u.



Entry 4:
An optimized crystal structure of HfV2Ir2, computed with PBE.

Cell: 7.4328 7.4328 2.8459 Å, 90.00 90.00 90.00°
Closest atoms and distances in Å follow each position.
Atoms (fractional coordinates):
Ir 0.8666 0.6334 0.0000  6 V 2.57-2.63, 3 Ir 2.80-2.85
V 0.1626 0.6626 0.5000  6 Ir 2.57-2.63, 2 V 2.85
Ir 0.6334 0.1334 0.0000  6 V 2.57-2.63, 3 Ir 2.80-2.85
V 0.6626 0.8374 0.5000  6 Ir 2.57-2.63, 2 V 2.85
V 0.3374 0.1626 0.5000  6 Ir 2.57-2.63, 2 V 2.85
Hf 0.0000 0.0000 0.0000  2 Hf 2.85, 4 Ir 2.90, 8 V 3.13
Ir 0.1334 0.3666 0.0000  6 V 2.57-2.63, 3 Ir 2.80-2.85
Ir 0.3666 0.8666 0.0000  6 V 2.57-2.63, 3 Ir 2.80-2.85
Hf 0.5000 0.5000 0.0000  2 Hf 2.85, 4 Ir 2.90, 8 V 3.13
V 0.8374 0.3374 0.5000  6 Ir 2.57-2.63, 2 V 2.85

Computed properties:
- Total magnetization: 0.4 μB per cell
- Symmetry: P4/mbm, No. 127
- DOS(E_F): 16.1 states/eV per cell
- Formation energy from the elements: -1.957 eV/f.u.
- Distance to the lowest polymorph of the same formula: 0.012 eV/atom



> Which of these has the lowest total magnetization?

HfU2Ir9